w) ## PuCd6Hg (PBE)

Data for a relaxed structure of PuCd6Hg.

Cell lengths 4.8685, 7.9193, 10.0931 Å; angles 90.00, 90.00, 90.00 degrees
Closest atoms and distances in Å follow each position.
Space group Amm2 (No. 38)
Asymmetric unit:
Pu: 0.0000 0.0000 0.0000 x2  10 Cd 3.19-3.38, 2 Hg 3.24
Cd: 0.0000 0.0000 0.4024 x2  8 Cd 3.08-3.38, 2 Hg 3.10
Cd: 0.0000 0.1897 0.7019 x4  6 Cd 3.00-3.20, 1 Pu 3.19
Cd: 0.5000 0.0000 0.7923 x2  6 Cd 3.00-3.12, 2 Pu 3.21
Cd: 0.5000 0.2048 0.4967 x4  7 Cd 3.08-3.40, 2 Hg 3.19-3.30, 2 Pu 3.38
Hg: 0.5000 0.0000 0.2122 x2  10 Cd 3.10-3.46, 2 Pu 3.24

***

x) ## PuCd6Hg (PBE)

Data for a relaxed structure of PuCd6Hg.

Cell lengths 5.9945, 5.9945, 6.4819 Å; angles 90.00, 90.00, 120.00 degrees
Closest atoms and distances in Å follow each position.
Space group P6/mmm (No. 191)
Asymmetric unit:
Pu: 0.0000 0.0000 0.0000 x1  2 Hg 3.24, 12 Cd 3.40
Cd: 0.0000 0.5000 0.2472 x6  6 Cd 3.00-3.28
Hg: 0.0000 0.0000 0.5000 x1  2 Pu 3.24, 12 Cd 3.42

***

So which one wins? Going from most stable to least: w), x).

***

w) ## PuScCdHg (PBE)

Data for a relaxed structure of PuScCdHg.

Cell lengths 3.2550, 3.2550, 8.8523 Å; angles 90.00, 90.00, 90.00 degrees
Closest atoms and distances in Å follow each position.
Space group P4mm (No. 99)
Asymmetric unit:
Pu: 0.0000 0.0000 0.0000 x1  4 Pu 3.25, 4 Hg 3.31, 4 Cd 3.34
Sc: 0.0000 0.0000 0.5080 x1  4 Hg 3.03, 4 Cd 3.10, 4 Sc 3.25
Cd: 0.5000 0.5000 0.2740 x1  4 Sc 3.10, 4 Cd 3.25, 4 Pu 3.34
Hg: 0.5000 0.5000 0.7309 x1  4 Sc 3.03, 4 Hg 3.25, 4 Pu 3.31

***

x) ## PuScCdHg (PBE)

Data for a relaxed structure of PuScCdHg.

Cell lengths 7.3368, 7.3368, 7.3368 Å; angles 90.00, 90.00, 90.00 degrees
Closest atoms and distances in Å follow each position.
Space group F-43m (No. 216)
Asymmetric unit:
Pu: 0.0000 0.0000 0.0000 x4  4 Hg 3.18, 4 Cd 3.18
Sc: 0.0000 0.0000 0.5000 x4  4 Cd 3.18, 4 Hg 3.18
Cd: 0.2500 0.2500 0.2500 x4  4 Sc 3.18, 4 Pu 3.18
Hg: 0.2500 0.2500 0.7500 x4  4 Sc 3.18, 4 Pu 3.18

***

So which one wins? Going from most stable to least: w), x).

***

w) ## Rb2Cd3Hg2 (PBE)

Data for a relaxed structure of Rb2Cd3Hg2.

Cell lengths 13.2894, 4.1766, 8.8372 Å; angles 90.00, 90.03, 90.00 degrees
Closest atoms and distances in Å follow each position.
Space group C2/m (No. 12)
Asymmetric unit:
Rb: 0.1241 0.0000 0.3394 x4  5 Hg 3.64-3.76, 5 Cd 3.79-4.02
Cd: 0.0000 0.5000 0.0000 x2  2 Hg 3.05, 4 Cd 3.29
Cd: 0.1834 0.0000 0.9203 x4  4 Cd 3.08-3.29, 2 Hg 3.09
Hg: 0.1028 0.5000 0.6920 x4  3 Cd 3.05-3.09

***

x) ## Rb2Cd3Hg2 (PBE)

Data for a relaxed structure of Rb2Cd3Hg2.

Cell lengths 12.3610, 5.1405, 8.1143 Å; angles 90.00, 113.80, 90.00 degrees
Closest atoms and distances in Å follow each position.
Space group C2/m (No. 12)
Asymmetric unit:
Rb: 0.1515 0.0000 0.2800 x4  4 Hg 3.60-3.83, 8 Cd 3.74-4.01
Cd: 0.0000 0.5000 0.5000 x2  2 Cd 3.13, 4 Hg 3.32
Cd: 0.1006 0.5000 0.9217 x4  3 Hg 3.09-3.19, 2 Cd 3.13-3.22
Hg: 0.1469 0.0000 0.7493 x4  5 Cd 3.09-3.32

***

So which one wins? Going from most stable to least: x), w).

***

w) ## Rb2Cd5Hg3 (PBE)

Data for a relaxed structure of Rb2Cd5Hg3.

Cell lengths 11.9642, 14.5329, 7.2545 Å; angles 90.00, 90.00, 90.00 degrees
Closest atoms and distances in Å follow each position.
Space group Ibam (No. 72)
Asymmetric unit:
Rb: 0.2301 0.1270 0.0000 x8  6 Hg 3.73-3.90, 10 Cd 3.92-4.14
Cd: 0.0000 0.2824 0.2500 x8  3 Cd 3.00-3.16, 2 Hg 3.02
Cd: 0.0000 0.5000 0.2500 x4  4 Hg 3.06, 2 Cd 3.16
Cd: 0.1018 0.1414 0.5000 x8  3 Hg 2.94-3.00, 2 Cd 3.00
Hg: 0.0000 0.0000 0.2500 x4  4 Cd 3.00
Hg: 0.1551 0.3882 0.0000 x8  5 Cd 2.94-3.06

***

x) ## Rb2Cd5Hg3 (PBE)

Data for a relaxed structure of Rb2Cd5Hg3.

Cell lengths 5.1308, 5.1308, 12.1526 Å; angles 90.00, 90.00, 90.00 degrees
Closest atoms and distances in Å follow each position.
Space group P-4m2 (No. 115)
Asymmetric unit:
Rb: 0.0000 0.5000 0.2482 x2  6 Hg 3.86-3.96, 10 Cd 3.96-3.99
Cd: 0.0000 0.0000 0.5000 x1  4 Cd 2.96
Cd: 0.0000 0.5000 0.6211 x2  1 Hg 2.92, 4 Cd 2.96
Cd: 0.5000 0.5000 0.0000 x1  4 Hg 3.07
Cd: 0.5000 0.5000 0.5000 x1  4 Cd 2.96
Hg: 0.0000 0.0000 0.0000 x1  4 Hg 3.07
Hg: 0.0000 0.5000 0.8613 x2  3 Cd 2.92-3.07, 2 Hg 3.07

***

So which one wins? Going from most stable to least: w), x).

***

w) ## Rb2CdHg5 (PBE)

Data for a relaxed structure of Rb2CdHg5.

Cell lengths 7.6224, 7.6224, 10.2438 Å; angles 90.00, 90.00, 90.00 degrees
Closest atoms and distances in Å follow each position.
Space group I4mm (No. 107)
Asymmetric unit:
Rb: 0.0000 0.5000 0.0000 x4  10 Hg 3.74-3.82
Cd: 0.0000 0.0000 0.2405 x2  5 Hg 2.97-3.09
Hg: 0.0000 0.0000 0.5307 x2  1 Cd 2.97, 4 Hg 3.22
Hg: 0.2136 0.2136 0.7500 x8  1 Cd 3.09, 3 Hg 3.22-3.26

***

x) ## Rb2CdHg5 (PBE)

Data for a relaxed structure of Rb2CdHg5.

Cell lengths 5.3325, 19.3705, 10.7727 Å; angles 90.00, 90.00, 90.00 degrees
Closest atoms and distances in Å follow each position.
Space group Cmcm (No. 63)
Asymmetric unit:
Rb: 0.0000 0.0000 0.0000 x4  10 Hg 3.89-4.19, 4 Cd 3.98
Rb: 0.0000 0.2058 0.2500 x4  13 Hg 3.66-4.05, 2 Cd 3.85
Cd: 0.0000 0.4377 0.7500 x4  3 Hg 2.99
Hg: 0.0000 0.1918 0.6080 x8  4 Hg 3.06-3.21
Hg: 0.0000 0.3506 0.5213 x8  1 Cd 2.99, 4 Hg 3.12-3.21
Hg: 0.0000 0.4079 0.2500 x4  1 Cd 2.99, 2 Hg 3.13

***

So which one wins? Going from most stable to least: x), w).

***

w) ## Rb2CdHg (PBE)

Data for a relaxed structure of Rb2CdHg.

Cell lengths 5.3095, 5.3095, 24.7383 Å; angles 90.00, 90.00, 120.00 degrees
Closest atoms and distances in Å follow each position.
Space group R3m (No. 160, hexagonal axes)
Asymmetric unit:
Rb: 0.0000 0.0000 0.0000 x3  3 Hg 3.80, 3 Cd 3.81
Rb: 0.0000 0.0000 0.1822 x3  3 Cd 3.80, 3 Hg 3.81
Cd: 0.0000 0.0000 0.7579 x3  3 Hg 3.07
Hg: 0.0000 0.0000 0.4243 x3  3 Cd 3.07

***

x) ## Rb2CdHg (PBE)

Data for a relaxed structure of Rb2CdHg.

Cell lengths 8.9907, 8.9907, 8.9907 Å; angles 90.00, 90.00, 90.00 degrees
Closest atoms and distances in Å follow each position.
Space group Fm-3m (No. 225)
Asymmetric unit:
Rb: 0.2500 0.2500 0.2500 x8  4 Hg 3.89, 4 Cd 3.89
Cd: 0.0000 0.0000 0.0000 x4  8 Rb 3.89
Hg: 0.0000 0.0000 0.5000 x4  8 Rb 3.89

***

y) ## Rb2CdHg (PBE)

Data for a relaxed structure of Rb2CdHg.

Cell lengths 5.2658, 5.3523, 13.2809 Å; angles 90.00, 90.00, 90.00 degrees
Closest atoms and distances in Å follow each position.
Space group Amm2 (No. 38)
Asymmetric unit:
Rb: 0.0000 0.0000 0.0000 x2  3 Hg 3.81-3.93, 4 Cd 3.95
Rb: 0.5000 0.0000 0.2947 x2  3 Cd 3.79-3.96, 4 Hg 3.94
Cd: 0.5000 0.0000 0.5927 x2  2 Hg 3.02
Hg: 0.0000 0.0000 0.7040 x2  2 Cd 3.02

***

So which one wins? Going from most stable to least: y), w), x).

***

w) ## RbCd6Hg2 (PBE)

Data for a relaxed structure of RbCd6Hg2.

Cell lengths 4.7471, 4.7471, 10.7572 Å; angles 90.00, 90.00, 90.00 degrees
Closest atoms and distances in Å follow each position.
Space group P4/mmm (No. 123)
Asymmetric unit:
Rb: 0.0000 0.0000 0.0000 x1  8 Hg 3.68, 8 Cd 4.10
Cd: 0.0000 0.0000 0.5000 x1  12 Cd 3.13-3.36
Cd: 0.0000 0.5000 0.3105 x4  2 Hg 3.00, 8 Cd 3.13-3.36
Cd: 0.5000 0.5000 0.5000 x1  12 Cd 3.13-3.36
Hg: 0.5000 0.5000 0.1401 x2  4 Cd 3.00, 1 Hg 3.01

***

x) ## RbCd6Hg2 (PBE)

Data for a relaxed structure of RbCd6Hg2.

Cell lengths 10.6787, 7.9029, 6.2235 Å; angles 90.00, 96.78, 90.00 degrees
Closest atoms and distances in Å follow each position.
Space group C2/m (No. 12)
Asymmetric unit:
Rb: 0.0000 0.0000 0.0000 x2  12 Cd 3.74-3.85, 2 Hg 4.01
Cd: 0.0000 0.2875 0.5000 x4  5 Cd 3.05-3.36, 2 Hg 3.08
Cd: 0.2409 0.3100 0.2751 x8  4 Cd 2.94-3.08, 2 Hg 3.01-3.07
Hg: 0.1230 0.5000 0.8827 x4  6 Cd 3.01-3.08, 1 Hg 3.15

***

So which one wins? Going from most stable to least: w), x).

***

w) ## Rb3CdHg2 (PBE)

Data for a relaxed structure of Rb3CdHg2.

Cell lengths 9.4078, 10.4453, 11.5371 Å; angles 90.00, 103.86, 90.00 degrees
Closest atoms and distances in Å follow each position.
Space group P2_1/c (No. 14)
Asymmetric unit:
Rb: 0.1620 0.1080 0.4612 x4  5 Hg 3.63-3.79, 2 Rb 3.98-4.06, 1 Cd 4.04
Rb: 0.2256 0.0430 0.1032 x4  3 Hg 3.64-3.89, 1 Rb 3.98, 2 Cd 3.99-4.06
Rb: 0.3074 0.7166 0.3492 x4  5 Hg 3.79-4.07, 2 Cd 3.88-4.01, 1 Rb 4.20
Cd: 0.4001 0.1531 0.8074 x4  3 Hg 3.04-3.32
Hg: 0.0720 0.1099 0.7642 x4  1 Cd 3.04
Hg: 0.4862 0.5614 0.1227 x4  1 Hg 3.17, 2 Cd 3.21-3.32

***

x) ## Rb3CdHg2 (PBE)

Data for a relaxed structure of Rb3CdHg2.

Cell lengths 9.8730, 9.8730, 21.7371 Å; angles 90.00, 90.00, 120.00 degrees
Closest atoms and distances in Å follow each position.
Space group R-3c (No. 167, hexagonal axes)
Asymmetric unit:
Rb: 0.0000 0.2924 0.2500 x18  4 Hg 3.70-3.78, 2 Cd 3.95
Cd: 0.0000 0.0000 0.0000 x6  2 Hg 2.99
Hg: 0.0000 0.0000 0.1375 x12  1 Cd 2.99

***

So which one wins? Going from most stable to least: w), x).

***

w) ## RbCd4Hg6 (PBE)

Data for a relaxed structure of RbCd4Hg6.

Cell lengths 10.5995, 11.2864, 7.7154 Å; angles 90.00, 133.36, 90.00 degrees
Closest atoms and distances in Å follow each position.
Space group Cm (No. 8)
Asymmetric unit:
Rb: 0.0000 0.0000 0.0000 x2  12 Hg 3.81-4.09, 4 Cd 3.97-4.05
Cd: 0.0660 0.5000 0.3139 x2  4 Hg 2.82-3.06, 2 Cd 3.15
Cd: 0.0906 0.3455 0.9973 x4  5 Hg 2.82-3.15, 2 Cd 3.11-3.15
Cd: 0.2564 0.0000 0.6997 x2  4 Hg 2.82-3.09, 2 Cd 3.11
Hg: 0.2465 0.2494 0.5007 x4  4 Cd 3.15-3.19, 4 Hg 3.39-3.52
Hg: 0.3199 0.2075 0.0131 x4  4 Cd 2.82-3.09
Hg: 0.3945 0.5000 0.4124 x2  4 Cd 2.82-3.08
Hg: 0.4755 0.0000 0.5823 x2  4 Cd 2.82-3.07

***

x) ## RbCd4Hg6 (PBE)

Data for a relaxed structure of RbCd4Hg6.

Cell lengths 8.3103, 8.3103, 5.1146 Å; angles 90.00, 90.00, 120.00 degrees
Closest atoms and distances in Å follow each position.
Space group P-6m2 (No. 187)
Asymmetric unit:
Rb: 0.0000 0.0000 0.0000 x1  12 Hg 3.84-4.19, 6 Cd 3.94
Cd: 0.2082 0.4165 0.5000 x3  6 Hg 2.93-3.15, 2 Cd 3.12
Cd: 0.6667 0.3333 0.0000 x1  9 Hg 2.92-3.21
Hg: 0.0731 0.5365 0.0000 x3  5 Cd 2.92-3.15, 2 Hg 3.24
Hg: 0.3979 0.1989 0.5000 x3  4 Cd 2.93-3.21

***

So which one wins? Going from most stable to least: x), w).

***

w) ## Rb2Cd3Hg5 (PBE)

Data for a relaxed structure of Rb2Cd3Hg5.

Cell lengths 5.2533, 5.2533, 11.8453 Å; angles 90.00, 90.00, 90.00 degrees
Closest atoms and distances in Å follow each position.
Space group P-4m2 (No. 115)
Asymmetric unit:
Rb: 0.0000 0.5000 0.2486 x2  10 Hg 3.93-3.97, 7 Cd 3.97-4.34
Cd: 0.0000 0.5000 0.6146 x2  3 Hg 2.91-2.96, 2 Cd 2.96
Cd: 0.5000 0.5000 0.5000 x1  4 Cd 2.96
Hg: 0.0000 0.0000 0.0000 x1  4 Hg 3.10
Hg: 0.0000 0.0000 0.5000 x1  4 Cd 2.96
Hg: 0.0000 0.5000 0.8606 x2  1 Cd 2.91, 4 Hg 3.10
Hg: 0.5000 0.5000 0.0000 x1  4 Hg 3.10

***

x) ## Rb2Cd3Hg5 (PBE)

Data for a relaxed structure of Rb2Cd3Hg5.

Cell lengths 11.9207, 14.5803, 7.3621 Å; angles 90.00, 90.00, 90.00 degrees
Closest atoms and distances in Å follow each position.
Space group Ibam (No. 72)
Asymmetric unit:
Rb: 0.2312 0.1318 0.0000 x8  10 Hg 3.71-3.97, 4 Cd 3.89-4.00
Cd: 0.0000 0.5000 0.2500 x4  6 Hg 3.05-3.17
Cd: 0.0997 0.1397 0.5000 x8  5 Hg 2.94-3.02
Hg: 0.0000 0.0000 0.2500 x4  4 Cd 2.99
Hg: 0.0000 0.2822 0.2500 x8  3 Cd 3.02-3.17, 2 Hg 3.10
Hg: 0.1576 0.3944 0.0000 x8  3 Cd 2.94-3.05, 2 Hg 3.10

***

So which one wins? Going from most stable to least: x), w).

***

w) ## RbCdHg (PBE)

Data for a relaxed structure of RbCdHg.

Cell lengths 4.1559, 4.1559, 12.4878 Å; angles 90.00, 90.00, 90.00 degrees
Closest atoms and distances in Å follow each position.
Space group I4mm (No. 107)
Asymmetric unit:
Rb: 0.0000 0.0000 0.0000 x2  5 Cd 3.62-3.94, 5 Hg 3.68-3.90
Cd: 0.0000 0.0000 0.2896 x2  4 Hg 3.12
Hg: 0.0000 0.0000 0.7057 x2  4 Cd 3.12

***

x) ## RbCdHg (PBE)

Data for a relaxed structure of RbCdHg.

Cell lengths 5.3273, 5.3273, 4.6242 Å; angles 90.00, 90.00, 120.00 degrees
Closest atoms and distances in Å follow each position.
Space group P-6m2 (No. 187)
Asymmetric unit:
Rb: 0.0000 0.0000 0.0000 x1  6 Cd 3.85, 6 Hg 3.85
Cd: 0.6667 0.3333 0.5000 x1  3 Hg 3.08
Hg: 0.3333 0.6667 0.5000 x1  3 Cd 3.08

***

So which one wins? Going from most stable to least: x), w).